PBE LiSc2TaTl, optimized geometry; D(E_F) = 0.72 states/eV per atom; energy relative to the elements = 309.0 kJ/mol of formula units; space-group type = No. 123
1.0
5.111 0.000 0.000
0.000 5.572 0.000
0.000 0.000 5.111
Li Sc Tl Ta
1 2 1 1
direct
0.500 0.500 0.500
0.500 0.000 0.000
0.000 0.000 0.500
0.000 0.500 0.000
0.000 0.000 0.000